Record 1
# La2ErScAs4

A geometry-optimized La2ErScAs4 structure (PBE, Alexandria via LeMat-Bulk).

Geometry as extended XYZ:
```
8
Lattice="-0.360 -4.143 0.530 6.465 -0.964 -3.143 0.874 0.835 7.121" Properties=species:S:1:pos:R:3 pbc="T T T"
Er 3.053 -2.554 -1.306
La 3.670 -0.064 1.989
La 0.257 -1.654 3.826
As 5.430 -2.161 3.376
As 1.549 -2.111 1.132
As 5.041 -0.530 -0.716
As 2.298 0.401 4.694
Sc 0.000 0.000 0.000
```

Calculated values
The density comes out at 6.336 Mg/m³. Its total magnetization is 0.0 Bohr magnetons per cell. The value obtained for the formation energy is -1139 kJ/mol of formula units. As for the electronic total energy: -6.394 eV/atom.



Record 2
# La2SmErAs4

A geometry-optimized La2SmErAs4 structure (PBE, Alexandria via LeMat-Bulk).

Geometry as extended XYZ:
```
8
Lattice="4.267 0.000 0.000 0.000 7.377 -0.144 0.000 2.598 6.912" Properties=species:S:1:pos:R:3 pbc="T T T"
Er 0.000 4.987 3.384
As 2.133 3.867 5.092
As 4.267 2.571 1.692
As 0.000 7.404 5.076
As 2.133 6.107 1.676
Sm 2.133 3.689 -0.072
La 2.133 1.299 3.456
La 0.000 2.598 6.912
```

Calculated values
The density comes out at 6.782 Mg/m³. Its total magnetization is 0.0 Bohr magnetons per cell. The value obtained for the formation energy is -1187 kJ/mol of formula units. As for the electronic total energy: -6.254 eV/atom.



Record 3
# LaSm2ErAs4

A geometry-optimized LaSm2ErAs4 structure (PBE, Alexandria via LeMat-Bulk).

Geometry as extended XYZ:
```
8
Lattice="-1.279 -3.885 1.068 6.757 -2.549 -1.182 3.874 0.425 6.186" Properties=species:S:1:pos:R:3 pbc="T T T"
Sm 1.298 -1.730 3.627
Sm 3.874 0.425 6.186
Er 5.316 -1.062 2.502
As 5.408 -3.737 1.246
As 7.959 -1.602 3.701
As 1.394 -4.407 2.371
As 3.945 -2.272 4.826
La 2.739 -3.217 -0.057
```

Calculated values
The density comes out at 7.057 Mg/m³. Its total magnetization is 0.0 Bohr magnetons per cell. The value obtained for the formation energy is -1174 kJ/mol of formula units. As for the electronic total energy: -6.211 eV/atom.



Record 4
# LaSmEr2As4

A geometry-optimized LaSmEr2As4 structure (PBE, Alexandria via LeMat-Bulk).

Geometry as extended XYZ:
```
8
Lattice="-1.599 -1.047 -3.733 5.824 -4.103 -1.344 -1.188 -6.748 2.400" Properties=species:S:1:pos:R:3 pbc="T T T"
Er -1.393 -3.897 -0.667
Er -1.188 -6.748 2.400
As -0.502 -3.717 -3.455
As -0.321 -6.608 -0.366
As 3.539 -8.181 0.778
As 3.359 -5.290 -2.311
La 2.318 -5.426 0.528
Sm 2.112 -2.575 -2.539
```

Calculated values
The density comes out at 7.368 Mg/m³. Its total magnetization is 0.0 Bohr magnetons per cell. The value obtained for the formation energy is -1176 kJ/mol of formula units. As for the electronic total energy: -6.194 eV/atom.



Record 5
# La2TbErAs4

A geometry-optimized La2TbErAs4 structure (PBE, Alexandria via LeMat-Bulk).

Geometry as extended XYZ:
```
8
Lattice="-0.747 -2.881 -3.030 3.542 -5.075 3.952 -4.765 -3.425 4.431" Properties=species:S:1:pos:R:3 pbc="T T T"
As -0.992 -5.064 -0.895
As -0.978 -6.317 6.247
As 1.011 -6.051 2.527
As -2.980 -5.330 2.825
Tb 1.398 -3.978 0.461
La -2.756 -3.153 0.700
La -4.765 -3.425 4.431
Er -0.611 -4.250 4.191
```

Calculated values
The density comes out at 6.941 Mg/m³. Its total magnetization is 0.0 Bohr magnetons per cell. The value obtained for the formation energy is -1189 kJ/mol of formula units. As for the electronic total energy: -6.247 eV/atom.



Record 6
# La3Tb2ErAs6

A geometry-optimized La3Tb2ErAs6 structure (PBE, Alexandria via LeMat-Bulk).

Geometry as extended XYZ:
```
12
Lattice="-2.389 -6.963 -0.059 2.650 3.035 -6.162 6.277 -0.889 3.726" Properties=species:S:1:pos:R:3 pbc="T T T"
As 5.825 -1.989 -2.866
As 4.855 -1.670 1.273
As 4.154 -5.304 -0.843
As 2.383 0.486 -1.651
As 0.713 -2.828 0.372
As 1.683 -3.148 -3.767
Er 0.000 0.000 0.000
Tb -0.709 -3.628 -2.094
Tb 0.969 -0.300 -4.126
La 3.269 -2.409 -1.247
La 1.591 -5.737 0.784
La 4.946 0.919 -3.279
```

Calculated values
The density comes out at 6.896 Mg/m³. Its total magnetization is 0.0 Bohr magnetons per cell. The value obtained for the formation energy is -1787 kJ/mol of formula units. As for the electronic total energy: -6.252 eV/atom.